Record 1
The following is a DFT calculation (PBE) of a relaxed structure of NaMo3Se5.

a b c (Å): 5.798 5.798 7.429
angles (deg): 90.00 90.00 120.00
Atoms (fractional coordinates):
Na1 0.000 0.000 0.000
Mo1 0.000 0.500 0.500
Mo2 0.500 0.000 0.500
Mo3 0.500 0.500 0.500
Se1 0.000 0.000 0.500
Se2 0.333 0.667 0.237
Se3 0.333 0.667 0.763
Se4 0.667 0.333 0.237
Se5 0.667 0.333 0.763

Calculated values
calculated total energy = -5.974 eV/atom
total magnetization = 3.9 μB per cell
SG = No. 191

---

Record 2
The following is a DFT calculation (PBE) of a relaxed structure of NaSiMo.

a b c (Å): 4.344 4.344 4.344
angles (deg): 60.00 60.00 60.00
Atoms (fractional coordinates):
Na1 0.000 0.000 0.000
Si1 0.750 0.750 0.750
Mo1 0.500 0.500 0.500

Calculated values
total magnetization = 2.0 μB per cell
SG = No. 216
relative energy among the computed polymorphs = 0 meV per atom

---

Record 3
The following is a DFT calculation (PBE) of a relaxed structure of NaSi5Mo3.

a b c (Å): 5.420 5.420 6.360
angles (deg): 90.00 90.00 120.00
Atoms (fractional coordinates):
Na1 0.000 0.000 0.000
Si1 0.000 0.000 0.500
Si2 0.333 0.667 0.184
Si3 0.333 0.667 0.816
Si4 0.667 0.333 0.184
Si5 0.667 0.333 0.816
Mo1 0.000 0.500 0.500
Mo2 0.500 0.000 0.500
Mo3 0.500 0.500 0.500

Calculated values
calculated total energy = -6.722 eV/atom
total magnetization = 0.0 μB per cell
SG = No. 191

---

Record 4
The following is a DFT calculation (PBE) of a relaxed structure of NaSmMo.

a b c (Å): 4.975 4.975 4.975
angles (deg): 60.00 60.00 60.00
Atoms (fractional coordinates):
Na1 0.000 0.000 0.000
Sm1 0.750 0.750 0.750
Mo1 0.500 0.500 0.500

Calculated values
calculated total energy = -4.067 eV/atom
total magnetization = 3.1 μB per cell
SG = No. 216

---

Record 5
The following is a DFT calculation (PBE) of a relaxed structure of NaSnMo.

a b c (Å): 4.714 4.714 4.714
angles (deg): 60.00 60.00 60.00
Atoms (fractional coordinates):
Na1 0.000 0.000 0.000
Sn1 0.750 0.750 0.750
Mo1 0.500 0.500 0.500

Calculated values
total magnetization = 2.4 μB per cell
SG = No. 216
relative energy among the computed polymorphs = 0 meV per atom

---

Record 6
The following is a DFT calculation (PBE) of a relaxed structure of NaSn5Mo3.

a b c (Å): 5.530 5.530 8.545
angles (deg): 90.00 90.00 120.00
Atoms (fractional coordinates):
Na1 0.000 0.000 0.000
Sn1 0.000 0.000 0.500
Sn2 0.333 0.667 0.214
Sn3 0.333 0.667 0.786
Sn4 0.667 0.333 0.214
Sn5 0.667 0.333 0.786
Mo1 0.000 0.500 0.500
Mo2 0.500 0.000 0.500
Mo3 0.500 0.500 0.500

Calculated values
calculated total energy = -5.902 eV/atom
total magnetization = 0.0 μB per cell
SG = No. 191